Density functional theory data (GGA+U) for an optimized crystal structure of Sc2WO.

As for the density of states at the Fermi level: 1.906 states/eV/f.u. For the size of the total moment, the calculation gives 6.0 μB per cell. The value obtained for the total energy is -27.27 eV/f.u.

The space group is R-3m (No. 166, hexagonal axes) and the conventional cell measures 3.3037, 3.3037 and 25.0370 Å, with angles of 90.00, 90.00 and 120.00 degrees. The inequivalent atoms are Sc at (0.0000, 0.0000, 0.0753), W at (0.0000, 0.0000, 0.5000) and O at (0.0000, 0.0000, 0.0000).